Computed, not measured: a relaxed LaTa2Ni2 crystal at the PBE level of DFT.

The structure belongs to space group I4/mmm (No. 139); the cell edges are 4.1739, 4.1739 and 11.0140 Å and the angles 90.00°, 90.00° and 90.00°. Symmetry generates all atoms from La at (0.0000, 0.0000, 0.0000), Ta at (0.0000, 0.5000, 0.2500) and Ni at (0.0000, 0.0000, 0.3873).

As for the total magnetic moment: 0.0 μB per cell. The crystal system is tetragonal. As for the formation energy: -0.01 eV/atom. As for the electronic total energy: -80.5 eV/cell. The calculation puts the energy above the most stable polymorph in this dataset at 0.0 meV/atom.